This record from Alexandria via LeMat-Bulk describes crystalline Dy2CoNi at its relaxed geometry. The functional is GGA-PBE.

Summary:
Calculated total energy (eV per atom): -5.118
Crystal system: trigonal
Total moment (μB per formula unit): 0.00
Calculated formation energy (eV per atom): 0.405
D(E_F) (states/eV per atom): 0.767

Lattice parameters (Å, degrees): 3.4584 3.4584 25.7246 90.00 90.00 120.00
Closest atoms and distances in Å follow each position.
Space group R-3m (No. 166, hexagonal axes)
Symmetry-distinct sites (fractional):
Dy1 0.0000 0.0000 0.0992  1 Ni 2.55, 3 Co 2.65
Co1 0.0000 0.0000 0.5000  6 Dy 2.65
Ni1 0.0000 0.0000 0.0000  2 Dy 2.55


This record from Alexandria via LeMat-Bulk describes crystalline Dy2CoNi at its relaxed geometry. The functional is GGA-PBE.

Summary:
Calculated total energy (eV per atom): -5.844
Crystal system: monoclinic
Total moment (μB per formula unit): 0.00
Calculated formation energy (eV per atom): -0.321
D(E_F) (states/eV per atom): 0.724

Lattice parameters (Å, degrees): 5.5848 3.9120 7.7220 90.00 110.26 90.00
Closest atoms and distances in Å follow each position.
Space group P2_1/m (No. 11)
Symmetry-distinct sites (fractional):
Dy1 0.2154 0.2500 0.4332  4 Co 2.84-3.04, 3 Ni 2.88-2.92
Dy2 0.2171 0.2500 0.9249  3 Co 2.82-2.94, 4 Ni 2.87-3.03
Co1 0.3639 0.7500 0.7174  2 Ni 2.43
Ni1 0.3621 0.7500 0.2145  2 Co 2.43


This record from Alexandria via LeMat-Bulk describes crystalline Dy4CoNi3 at its relaxed geometry. The functional is GGA-PBE.

Summary:
Calculated total energy (eV per atom): -5.740
Crystal system: orthorhombic
Total moment (μB per formula unit): 0.00
Calculated formation energy (eV per atom): -0.382
D(E_F) (states/eV per atom): 0.831

Lattice parameters (Å, degrees): 3.7623 4.0744 10.3680 90.00 90.00 90.00
Closest atoms and distances in Å follow each position.
Space group Pmm2 (No. 25)
Symmetry-distinct sites (fractional):
Dy1 0.0000 0.0000 0.0000  5 Ni 2.86-3.01, 2 Co 2.86
Dy2 0.0000 0.5000 0.2784  4 Co 2.87, 3 Ni 2.89-3.00
Dy3 0.5000 0.0000 0.4940  6 Ni 2.88-2.92, 1 Co 2.97
Dy4 0.5000 0.5000 0.7773  7 Ni 2.86-3.01
Co1 0.5000 0.0000 0.2077  2 Ni 2.50
Ni1 0.0000 0.0000 0.7093  2 Ni 2.51
Ni2 0.0000 0.5000 0.5677  2 Ni 2.51
Ni3 0.5000 0.5000 0.0674  2 Co 2.50


This record from Alexandria via LeMat-Bulk describes crystalline Dy3CoNi3 at its relaxed geometry. The functional is GGA-PBE.

Summary:
Calculated total energy (eV per atom): -5.826
Crystal system: monoclinic
Total moment (μB per formula unit): 0.00
Calculated formation energy (eV per atom): -0.361
D(E_F) (states/eV per atom): 0.774

Lattice parameters (Å, degrees): 10.2061 3.8793 14.0175 90.00 108.41 90.00
Closest atoms and distances in Å follow each position.
Space group C2/m (No. 12)
Symmetry-distinct sites (fractional):
Dy1 0.0436 0.0000 0.2725  6 Ni 2.81-2.93, 2 Co 2.86
Dy2 0.1734 0.0000 0.5766  7 Ni 2.89-2.95
Dy3 0.1800 0.5000 0.0987  4 Co 2.89-3.03, 7 Ni 2.93-3.09
Co1 0.1013 0.5000 0.8718  3 Ni 2.28-2.33
Ni1 0.0375 0.5000 0.4240  2 Ni 2.48-2.51
Ni2 0.0534 0.0000 0.9390  2 Co 2.28, 1 Ni 2.30
Ni3 0.1720 0.5000 0.7292  1 Co 2.33, 1 Ni 2.51


This record from Alexandria via LeMat-Bulk describes crystalline DyCoNi2 at its relaxed geometry. The functional is GGA-PBE.

Summary:
Calculated total energy (eV per atom): -5.917
Crystal system: orthorhombic
Total moment (μB per formula unit): 1.69
Calculated formation energy (eV per atom): -0.100
D(E_F) (states/eV per atom): 1.237

Lattice parameters (Å, degrees): 4.7567 4.4833 11.7974 90.00 90.00 90.00
Closest atoms and distances in Å follow each position.
Space group Pmma (No. 51)
Symmetry-distinct sites (fractional):
Dy1 0.2500 0.0000 0.0962  8 Ni 2.74-2.78
Dy2 0.2500 0.5000 0.3199  3 Co 2.67-2.86
Co1 0.2500 0.0000 0.6704  4 Ni 2.31-2.34
Co2 0.2500 0.5000 0.5459  4 Ni 2.59, 4 Co 2.61-2.68, 3 Dy 2.67-2.86
Ni1 0.0000 0.0000 0.5000  6 Co 2.34-2.59, 2 Ni 2.38
Ni2 0.0000 0.5000 0.0000  6 Ni 2.38-2.48
Ni3 0.2500 0.2561 0.8405  2 Ni 2.19-2.30, 1 Co 2.31


This record from Alexandria via LeMat-Bulk describes crystalline DyCo2Ni4 at its relaxed geometry. The functional is GGA-PBE.

Summary:
Calculated total energy (eV per atom): -6.162
Crystal system: monoclinic
Total moment (μB per formula unit): 4.49
Calculated formation energy (eV per atom): -0.171
D(E_F) (states/eV per atom): 1.525

Lattice parameters (Å, degrees): 7.7898 6.1908 4.7391 90.00 127.35 90.00
Closest atoms and distances in Å follow each position.
Space group C2/m (No. 12)
Symmetry-distinct sites (fractional):
Dy1 0.0000 0.0000 0.0000  12 Ni 2.67-2.92
Co1 0.0000 0.5000 0.2499  2 Co 2.37, 8 Ni 2.53-2.54
Ni1 0.1946 0.1946 0.6945  4 Ni 2.41-2.56, 4 Co 2.53-2.54, 1 Dy 2.67


This record from Alexandria via LeMat-Bulk describes crystalline DyCoNi at its relaxed geometry. The functional is GGA-PBE.

Summary:
Calculated total energy (eV per atom): -6.084
Crystal system: hexagonal
Total moment (μB per formula unit): 0.18
Calculated formation energy (eV per atom): -0.254
D(E_F) (states/eV per atom): 1.206

Lattice parameters (Å, degrees): 3.9229 3.9229 3.8250 90.00 90.00 120.00
Closest atoms and distances in Å follow each position.
Space group P-6m2 (No. 187)
Symmetry-distinct sites (fractional):
Dy1 0.0000 0.0000 0.0000  6 Ni 2.96, 6 Co 2.96
Co1 0.6667 0.3333 0.5000  3 Ni 2.26
Ni1 0.3333 0.6667 0.5000  3 Co 2.26


This record from Alexandria via LeMat-Bulk describes crystalline Dy2CoNi2 at its relaxed geometry. The functional is GGA-PBE.

Summary:
Calculated total energy (eV per atom): -5.896
Crystal system: monoclinic
Total moment (μB per formula unit): 0.01
Calculated formation energy (eV per atom): -0.322
D(E_F) (states/eV per atom): 0.865

Lattice parameters (Å, degrees): 8.8112 5.2653 7.6673 90.00 103.30 90.00
Closest atoms and distances in Å follow each position.
Space group C2/c (No. 15)
Symmetry-distinct sites (fractional):
Dy1 0.1520 0.1228 0.1539  6 Ni 2.79-3.03, 2 Co 2.99-3.00
Co1 0.0000 0.3506 0.7500  4 Ni 2.42-2.43
Ni1 0.1241 0.3786 0.4994  2 Co 2.42-2.43, 2 Ni 2.54-2.60


This record from Alexandria via LeMat-Bulk describes crystalline Dy2Co5Ni5 at its relaxed geometry. The functional is GGA-PBE.

Summary:
Calculated total energy (eV per atom): -6.350
Crystal system: orthorhombic
Total moment (μB per formula unit): 8.89
Calculated formation energy (eV per atom): -0.214
D(E_F) (states/eV per atom): 1.315

Lattice parameters (Å, degrees): 4.0012 4.8142 8.5342 90.00 90.00 90.00
Closest atoms and distances in Å follow each position.
Space group Pmmm (No. 47)
Symmetry-distinct sites (fractional):
Dy1 0.0000 0.0000 0.0000  10 Ni 2.80-3.13
Dy2 0.0000 0.5000 0.5000  6 Ni 2.81-2.83, 12 Co 3.13-3.14
Co1 0.5000 0.0000 0.5000  4 Co 2.43, 4 Ni 2.47
Co2 0.5000 0.2518 0.2537  3 Co 2.39-2.43, 5 Ni 2.43-2.47
Ni1 0.0000 0.0000 0.3310  6 Co 2.43-2.47
Ni2 0.0000 0.5000 0.1679  4 Co 2.44, 2 Ni 2.46
Ni3 0.5000 0.5000 0.0000  4 Ni 2.46, 4 Co 2.47


This record from Alexandria via LeMat-Bulk describes crystalline Dy8CoNi2 at its relaxed geometry. The functional is GGA-PBE.

Summary:
Calculated total energy (eV per atom): -5.215
Crystal system: monoclinic
Energy above the most stable polymorph in this dataset (meV/atom): 0
Total moment (μB per formula unit): 0.00
Calculated formation energy (eV per atom): -0.171
D(E_F) (states/eV per atom): 1.083

Lattice parameters (Å, degrees): 16.9532 4.9940 6.5677 90.00 105.15 90.00
Closest atoms and distances in Å follow each position.
Space group C2/m (No. 12)
Symmetry-distinct sites (fractional):
Dy1 0.0362 0.0000 0.2930  1 Ni 2.76, 2 Co 2.98
Dy2 0.0897 0.5000 0.9413  1 Co 2.90
Dy3 0.1681 0.5000 0.4764  1 Ni 2.68, 1 Co 2.89
Dy4 0.2019 0.0000 0.8271  1 Ni 2.68
Co1 0.0000 0.5000 0.5000  8 Dy 2.89-2.98
Ni1 0.1899 0.0000 0.2253  3 Dy 2.68-2.76


This record from Alexandria via LeMat-Bulk describes crystalline DyCo2Ni5 at its relaxed geometry. The functional is GGA-PBE.

Summary:
Calculated total energy (eV per atom): -5.958
Crystal system: orthorhombic
Total moment (μB per formula unit): 5.49
Calculated formation energy (eV per atom): 0.007
D(E_F) (states/eV per atom): 1.405

Lattice parameters (Å, degrees): 3.6265 6.7170 8.8395 90.00 90.00 90.00
Closest atoms and distances in Å follow each position.
Space group Immm (No. 71)
Symmetry-distinct sites (fractional):
Dy1 0.0000 0.0000 0.0000  4 Co 2.81, 8 Ni 3.08
Co1 0.0000 0.5000 0.2569  7 Ni 2.27-2.40
Ni1 0.0000 0.1835 0.3536  3 Co 2.29-2.40, 3 Ni 2.46-2.55
Ni2 0.0000 0.5000 0.0000  2 Co 2.27


This record from Alexandria via LeMat-Bulk describes crystalline Dy2CoNi3 at its relaxed geometry. The functional is GGA-PBE.

Summary:
Calculated total energy (eV per atom): -5.621
Crystal system: orthorhombic
Total moment (μB per formula unit): 1.62
Calculated formation energy (eV per atom): -0.012
D(E_F) (states/eV per atom): 1.139

Lattice parameters (Å, degrees): 4.1398 5.0708 9.9726 90.00 90.00 90.00
Closest atoms and distances in Å follow each position.
Space group Immm (No. 71)
Symmetry-distinct sites (fractional):
Dy1 0.0000 0.0000 0.1873  6 Ni 2.64-2.86
Co1 0.0000 0.0000 0.5000  6 Ni 2.37-2.54
Ni1 0.0000 0.5000 0.1153  1 Ni 2.30, 2 Co 2.37
Ni2 0.0000 0.5000 0.5000  2 Co 2.54, 4 Dy 2.79